(1)
DFT (PBE) results for a geometry-optimized Dy4PdPt5 structure.

Computed properties:
DOS at the Fermi energy (states/eV/atom): 0.49
Energy (eV/atom): -6.56
Energy relative to the elements (meV per atom): -1184

```
data_Dy4PdPt5
_cell_length_a 16.7088
_cell_length_b 4.4279
_cell_length_c 5.6329
_cell_angle_alpha 90.00
_cell_angle_beta 98.85
_cell_angle_gamma 90.00
_space_group_name_H-M_alt 'C 1 2/m 1'
_space_group_IT_number 12
_space_group_name_Hall '-C 2y'
loop_
_atom_site_label
_atom_site_type_symbol
_atom_site_fract_x
_atom_site_fract_y
_atom_site_fract_z
Dy1 Dy 0.1098 0.0000 0.2948
Dy2 Dy 0.1714 0.5000 0.8258
Pd1 Pd 0.0000 0.5000 0.5000
Pt1 Pt 0.0000 0.5000 0.0000
Pt2 Pt 0.0618 0.0000 0.7739
Pt3 Pt 0.2315 0.5000 0.3380
```



(2)
DFT (PBE) results for a geometry-optimized Dy2PdPt4 structure.

Computed properties:
DOS at the Fermi energy (states/eV/atom): 0.68
Energy (eV/atom): -6.26
E above lowest polymorph (meV/atom): 71
Energy relative to the elements (meV per atom): -750

```
data_Dy2PdPt4
_cell_length_a 5.4916
_cell_length_b 9.0324
_cell_length_c 11.1404
_cell_angle_alpha 90.00
_cell_angle_beta 90.00
_cell_angle_gamma 90.00
_space_group_name_H-M_alt 'F m m m'
_space_group_IT_number 69
_space_group_name_Hall '-F 2 2'
loop_
_atom_site_label
_atom_site_type_symbol
_atom_site_fract_x
_atom_site_fract_y
_atom_site_fract_z
Dy1 Dy 0.0000 0.0000 0.1443
Pd1 Pd 0.0000 0.0000 0.5000
Pt1 Pt 0.2500 0.2500 0.0000
Pt2 Pt 0.2500 0.2500 0.2500
```